<1>
Ac3PrIr | PBE-GGA | optimized geometry

abc: 4.225 9.562 9.941
angles: 90.00 90.00 90.00
Atoms (fractional coordinates):
Ac 0.000 0.265 0.542
Ac 0.500 0.953 0.750
Ac 0.500 0.047 0.250
Ac 0.000 0.735 0.042
Ac 0.000 0.735 0.458
Ac 0.000 0.265 0.958
Pr 0.500 0.553 0.750
Pr 0.500 0.447 0.250
Ir 0.500 0.257 0.750
Ir 0.500 0.743 0.250

Crystal system   orthorhombic
Calculated volume   402 Å³ per cell
N(E_F)   6.946 states/eV/f.u.


<2>
Ac3PrIr | PBE-GGA | optimized geometry

abc: 5.912 5.912 5.912
angles: 90.00 90.00 90.00
Atoms (fractional coordinates):
Ac 0.000 0.000 0.500
Ac 0.500 0.000 0.000
Ac 0.000 0.500 0.000
Pr 0.500 0.500 0.500
Ir 0.000 0.000 0.000

Crystal system   cubic
Calculated volume   207 Å³ per cell
N(E_F)   7.556 states/eV/f.u.


<3>
Ac3PrIr | PBE-GGA | optimized geometry

abc: 7.944 7.944 7.968
angles: 110.72 111.58 106.03
Atoms (fractional coordinates):
Pr 0.699 0.046 0.745
Pr 0.301 0.954 0.255
Ac 0.163 0.956 0.714
Ac 0.708 0.452 0.160
Ac 0.292 0.548 0.840
Ac 0.837 0.044 0.286
Ac 0.242 0.449 0.286
Ac 0.758 0.551 0.714
Ir 0.598 0.753 0.351
Ir 0.402 0.247 0.649

Crystal system   monoclinic
Calculated volume   387 Å³ per cell
N(E_F)   6.090 states/eV/f.u.


Among the structures above, stability is greatest for <3>.